# 1
A plane-wave DFT calculation with GGA-PBE was carried out for a relaxed structure of Zr4TcMo.

- Raw total energy: -9.35 eV/atom
- SG: No. 123
- Distance to the lowest polymorph of the same formula: 0 meV/atom
- Total magnetic moment: 0.00 Bohr magnetons per cell
- Formation enthalpy at 0 K: -0.7 eV/f.u.
- D(E_F): 9.01 states/eV/cell

Unit cell a=3.361 b=3.361 c=10.595 alpha=90.00 beta=90.00 gamma=90.00
Positions (direct):
Zr: 0.000 0.000 0.149
Zr: 0.000 0.000 0.851
Zr: 0.500 0.500 0.350
Zr: 0.500 0.500 0.650
Tc: 0.500 0.500 0.000
Mo: 0.000 0.000 0.500

---

# 2
A plane-wave DFT calculation with GGA-PBE was carried out for a relaxed structure of ZrAlSi2.

- Raw total energy: -5.95 eV/atom
- SG: No. 51
- Total magnetic moment: 0.00 Bohr magnetons per cell
- D(E_F): 3.50 states/eV/cell
- Uncorrected formation energy: -16.2 kJ per mole of atoms

Unit cell a=5.234 b=4.676 c=5.858 alpha=90.00 beta=90.00 gamma=90.00
Positions (direct):
Zr: 0.250 0.000 0.123
Zr: 0.750 0.000 0.877
Al: 0.250 0.000 0.626
Al: 0.750 0.000 0.374
Si: 0.000 0.500 0.000
Si: 0.250 0.500 0.408
Si: 0.500 0.500 0.000
Si: 0.750 0.500 0.592

---

# 3
A plane-wave DFT calculation with GGA-PBE was carried out for a relaxed structure of Zn2CdAu6.

- Raw total energy: -2.70 eV/atom
- SG: No. 15
- Distance to the lowest polymorph of the same formula: 0 meV/atom
- Total magnetic moment: 0.00 Bohr magnetons per cell
- Formation enthalpy at 0 K: -1.2 eV/f.u.
- D(E_F): 4.36 states/eV/cell

Unit cell a=7.975 b=7.975 c=5.254 alpha=93.67 beta=93.67 gamma=74.43
Positions (direct):
Zn: 0.048 0.278 0.096
Zn: 0.278 0.048 0.596
Zn: 0.722 0.952 0.404
Zn: 0.952 0.722 0.904
Cd: 0.394 0.606 0.750
Cd: 0.606 0.394 0.250
Au: 0.081 0.820 0.489
Au: 0.144 0.402 0.670
Au: 0.180 0.919 0.011
Au: 0.231 0.517 0.191
Au: 0.402 0.144 0.170
Au: 0.483 0.769 0.309
Au: 0.517 0.231 0.691
Au: 0.598 0.856 0.830
Au: 0.769 0.483 0.809
Au: 0.820 0.081 0.989
Au: 0.856 0.598 0.330
Au: 0.919 0.180 0.511

---

# 4
A plane-wave DFT calculation with GGA-PBE was carried out for a relaxed structure of Ca2ZnAu.

- Raw total energy: -2.45 eV/atom
- SG: No. 216
- Total magnetic moment: 0.00 Bohr magnetons per cell
- Formation enthalpy at 0 K: -1.2 eV/f.u.
- D(E_F): 3.88 states/eV/cell

Unit cell a=5.005 b=5.005 c=5.005 alpha=60.00 beta=60.00 gamma=60.00
Positions (direct):
Ca: 0.000 0.000 0.000
Ca: 0.250 0.250 0.250
Zn: 0.750 0.750 0.750
Au: 0.500 0.500 0.500

---

# 5
A plane-wave DFT calculation with GGA-PBE was carried out for a relaxed structure of HfBi2Pt.

- Raw total energy: -5.82 eV/atom
- SG: No. 225
- Distance to the lowest polymorph of the same formula: 19 meV/atom
- Total magnetic moment: 0.00 Bohr magnetons per cell
- Formation enthalpy at 0 K: 0.5 eV/f.u.
- D(E_F): 2.07 states/eV/cell

Unit cell a=5.081 b=5.081 c=5.081 alpha=60.00 beta=60.00 gamma=60.00
Positions (direct):
Hf: 0.000 0.000 0.000
Bi: 0.250 0.250 0.250
Bi: 0.750 0.750 0.750
Pt: 0.500 0.500 0.500

---

# 6
A plane-wave DFT calculation with GGA-PBE was carried out for a relaxed structure of Ce2SmSi2.

- Raw total energy: -5.88 eV/atom
- SG: No. 11
- Distance to the lowest polymorph of the same formula: 194 meV/atom
- Total magnetic moment: 3.69 Bohr magnetons per cell
- D(E_F): 23.26 states/eV/cell
- Uncorrected formation energy: -37.7 kJ per mole of atoms

Unit cell a=5.619 b=4.189 c=11.351 alpha=90.00 beta=102.19 gamma=90.00
Positions (direct):
Ce: 0.068 0.250 0.370
Ce: 0.181 0.250 0.017
Ce: 0.819 0.750 0.983
Ce: 0.932 0.750 0.630
Sm: 0.470 0.250 0.723
Sm: 0.530 0.750 0.277
Si: 0.289 0.750 0.864
Si: 0.381 0.750 0.521
Si: 0.619 0.250 0.479
Si: 0.711 0.250 0.136

---

# 7
A plane-wave DFT calculation with GGA-PBE was carried out for a relaxed structure of LaAlRu2.

- Raw total energy: -6.88 eV/atom
- SG: No. 44
- Total magnetic moment: 0.00 Bohr magnetons per cell
- Formation enthalpy at 0 K: -0.3 eV/f.u.
- D(E_F): 2.48 states/eV/cell

Unit cell a=5.764 b=5.764 c=5.764 alpha=148.32 beta=132.66 gamma=58.08
Positions (direct):
La: 0.000 0.000 0.000
Al: 0.719 0.219 0.500
Ru: 0.270 0.770 0.500
Ru: 0.494 0.494 0.000

---

# 8
A plane-wave DFT calculation with GGA-PBE was carried out for a relaxed structure of TaAg4Pb.

- Raw total energy: -3.94 eV/atom
- SG: No. 216
- Total magnetic moment: 2.19 Bohr magnetons per cell
- Formation enthalpy at 0 K: 3.3 eV/f.u.
- D(E_F): 4.42 states/eV/cell

Unit cell a=5.549 b=5.549 c=5.549 alpha=60.00 beta=60.00 gamma=60.00
Positions (direct):
Ta: 0.000 0.000 0.000
Ag: 0.124 0.625 0.625
Ag: 0.625 0.124 0.625
Ag: 0.625 0.625 0.124
Ag: 0.625 0.625 0.625
Pb: 0.250 0.250 0.250

---

# 9
A plane-wave DFT calculation with GGA-PBE was carried out for a relaxed structure of TeWS2Cl.

- Raw total energy: -5.02 eV/atom
- SG: No. 123
- Distance to the lowest polymorph of the same formula: 0 meV/atom
- Total magnetic moment: 0.48 Bohr magnetons per cell
- D(E_F): 6.22 states/eV/cell
- Uncorrected formation energy: 21.0 kJ per mole of atoms

Unit cell a=4.747 b=4.747 c=4.755 alpha=90.00 beta=90.00 gamma=90.00
Positions (direct):
Te: 0.000 0.000 0.000
W: 0.500 0.500 0.500
S: 0.000 0.500 0.500
S: 0.500 0.000 0.500
Cl: 0.500 0.500 0.000

---

# 10
A plane-wave DFT calculation with GGA-PBE was carried out for a relaxed structure of Pu3Ni5H12.

- Raw total energy: -5.74 eV/atom
- SG: No. 230
- Total magnetic moment: 68.24 Bohr magnetons per cell
- D(E_F): 129.34 states/eV/cell

Unit cell a=9.810 b=9.810 c=9.810 alpha=109.47 beta=109.47 gamma=109.47
Positions (direct):
Pu: 0.125 0.250 0.375
Pu: 0.125 0.375 0.750
Pu: 0.250 0.375 0.125
Pu: 0.250 0.875 0.625
Pu: 0.375 0.125 0.250
Pu: 0.375 0.750 0.125
Pu: 0.625 0.250 0.875
Pu: 0.625 0.875 0.750
Pu: 0.750 0.125 0.375
Pu: 0.750 0.625 0.875
Pu: 0.875 0.625 0.250
Pu: 0.875 0.750 0.625
Ni: 0.000 0.000 0.000
Ni: 0.000 0.000 0.500
Ni: 0.000 0.500 0.000
Ni: 0.000 0.500 0.500
Ni: 0.125 0.750 0.875
Ni: 0.125 0.875 0.250
Ni: 0.250 0.125 0.875
Ni: 0.250 0.625 0.375
Ni: 0.375 0.250 0.625
Ni: 0.375 0.625 0.750
Ni: 0.500 0.000 0.000
Ni: 0.500 0.000 0.500
Ni: 0.500 0.500 0.000
Ni: 0.500 0.500 0.500
Ni: 0.625 0.375 0.250
Ni: 0.625 0.750 0.375
Ni: 0.750 0.375 0.625
Ni: 0.750 0.875 0.125
Ni: 0.875 0.125 0.750
Ni: 0.875 0.250 0.125
H: 0.005 0.183 0.098
H: 0.005 0.322 0.907
H: 0.085 0.683 0.678
H: 0.085 0.902 0.407
H: 0.093 0.598 0.415
H: 0.093 0.995 0.678
H: 0.098 0.005 0.183
H: 0.098 0.593 0.915
H: 0.178 0.183 0.585
H: 0.178 0.495 0.593
H: 0.183 0.098 0.005
H: 0.183 0.585 0.178
H: 0.317 0.322 0.915
H: 0.317 0.495 0.402
H: 0.322 0.907 0.005
H: 0.322 0.915 0.317
H: 0.402 0.317 0.495
H: 0.402 0.585 0.907
H: 0.407 0.085 0.902
H: 0.407 0.822 0.505
H: 0.415 0.093 0.598
H: 0.415 0.822 0.817
H: 0.495 0.402 0.317
H: 0.495 0.593 0.178
H: 0.505 0.407 0.822
H: 0.505 0.598 0.683
H: 0.585 0.178 0.183
H: 0.585 0.907 0.402
H: 0.593 0.178 0.495
H: 0.593 0.915 0.098
H: 0.598 0.415 0.093
H: 0.598 0.683 0.505
H: 0.678 0.085 0.683
H: 0.678 0.093 0.995
H: 0.683 0.505 0.598
H: 0.683 0.678 0.085
H: 0.817 0.415 0.822
H: 0.817 0.902 0.995
H: 0.822 0.505 0.407
H: 0.822 0.817 0.415
H: 0.902 0.407 0.085
H: 0.902 0.995 0.817
H: 0.907 0.005 0.322
H: 0.907 0.402 0.585
H: 0.915 0.098 0.593
H: 0.915 0.317 0.322
H: 0.995 0.678 0.093
H: 0.995 0.817 0.902

---

# 11
A plane-wave DFT calculation with GGA-PBE was carried out for a relaxed structure of Tb2Y6Ho2Er.

- Raw total energy: -5.47 eV/atom
- SG: No. 65
- Total magnetic moment: 0.00 Bohr magnetons per cell
- Formation enthalpy at 0 K: 1.6 eV/f.u.
- D(E_F): 18.10 states/eV/cell

Unit cell a=6.639 b=6.639 c=10.509 alpha=90.00 beta=90.00 gamma=129.58
Positions (direct):
Tb: 0.134 0.866 0.000
Tb: 0.866 0.134 0.000
Y: 0.000 0.000 0.295
Y: 0.000 0.000 0.705
Y: 0.347 0.653 0.206
Y: 0.347 0.653 0.794
Y: 0.653 0.347 0.206
Y: 0.653 0.347 0.794
Ho: 0.206 0.794 0.500
Ho: 0.794 0.206 0.500
Er: 0.500 0.500 0.500

---

# 12
A plane-wave DFT calculation with GGA-PBE was carried out for a relaxed structure of KRhPb2.

- Raw total energy: -4.03 eV/atom
- SG: No. 160
- Total magnetic moment: 0.00 Bohr magnetons per cell
- Formation enthalpy at 0 K: -0.3 eV/f.u.
- D(E_F): 3.36 states/eV/cell

Unit cell a=7.173 b=7.173 c=7.173 alpha=37.38 beta=37.38 gamma=37.38
Positions (direct):
K: 0.000 0.000 0.000
Rh: 0.175 0.175 0.175
Pb: 0.552 0.552 0.552
Pb: 0.789 0.789 0.789

---

# 13
A plane-wave DFT calculation with GGA-PBE was carried out for a relaxed structure of BaPa2ZnN5.

- Raw total energy: -8.09 eV/atom
- SG: No. 140
- Total magnetic moment: 0.17 Bohr magnetons per cell
- D(E_F): 10.61 states/eV/cell
- Uncorrected formation energy: -96.6 kJ per mole of atoms

Unit cell a=7.550 b=7.550 c=7.550 alpha=127.30 beta=127.30 gamma=77.75
Positions (direct):
Ba: 0.250 0.250 0.000
Ba: 0.750 0.750 0.000
Pa: 0.176 0.676 0.851
Pa: 0.324 0.176 0.500
Pa: 0.676 0.824 0.500
Pa: 0.824 0.324 0.149
Zn: 0.250 0.750 0.500
Zn: 0.750 0.250 0.500
N: 0.000 0.000 0.000
N: 0.026 0.233 0.500
N: 0.233 0.733 0.207
N: 0.267 0.474 0.500
N: 0.474 0.974 0.207
N: 0.500 0.500 0.000
N: 0.526 0.026 0.793
N: 0.733 0.526 0.500
N: 0.767 0.267 0.793
N: 0.974 0.767 0.500

---

# 14
A plane-wave DFT calculation with GGA-PBE was carried out for a relaxed structure of SbTe.

- Raw total energy: -3.58 eV/atom
- SG: No. 51
- Distance to the lowest polymorph of the same formula: 152 meV/atom
- Total magnetic moment: 0.00 Bohr magnetons per cell
- D(E_F): 1.88 states/eV/cell
- Uncorrected formation energy: 4.6 kJ per mole of atoms

Unit cell a=6.189 b=4.073 c=7.264 alpha=90.00 beta=90.00 gamma=90.00
Positions (direct):
Sb: 0.250 0.000 0.000
Sb: 0.750 0.000 0.000
Te: 0.250 0.500 0.272
Te: 0.750 0.500 0.728